No. 1
A plane-wave DFT calculation with GGA-PBE was carried out for a geometry-optimized KBaBr2Cl structure.

Cell lengths 6.634, 6.634, 5.165 Å; angles 90.00, 90.00, 90.00 degrees
Space group P4/mmm (No. 123)
Unique sites:
K  0.000  0.000  0.000 x1
Ba  0.500  0.500  0.000 x1
Br  0.000  0.500  0.500 x2
Cl  0.000  0.000  0.500 x1

Results
Energy above the most stable polymorph in this dataset ... 0.854 eV/atom



No. 2
A plane-wave DFT calculation with GGA-PBE was carried out for a geometry-optimized KBaBr2Cl structure.

Cell lengths 6.342, 6.342, 5.983 Å; angles 90.00, 90.00, 90.00 degrees
Space group P4/mmm (No. 123)
Unique sites:
K  0.000  0.000  0.000 x1
Ba  0.500  0.500  0.500 x1
Br  0.000  0.500  0.500 x2
Cl  0.500  0.500  0.000 x1

Results
Energy above the most stable polymorph in this dataset ... 0.000 eV/atom



No. 3
A plane-wave DFT calculation with GGA-PBE was carried out for a geometry-optimized BaLiBrCl2 structure.

Cell lengths 4.504, 14.041, 9.433 Å; angles 90.00, 90.00, 90.00 degrees
Space group Cmcm (No. 63)
Unique sites:
Ba  0.000  0.244  0.250 x4
Li  0.000  0.000  0.000 x4
Br  0.000  0.436  0.750 x4
Cl  0.000  0.158  0.563 x8

Results
E ... -3.9313 eV/atom